This record from OQMD describes crystalline SbAuO3 at its relaxed geometry. The functional is PBE.

Computed properties:
V = 12.56 Å³/atom
final energy = -4.928 eV/atom

Structure (POSCAR):
```
SbAuO3
1.0
3.956 0.000 0.000
0.000 3.956 0.000
0.000 0.000 4.013
Au O Sb
1 3 1
Direct
0.000 0.000 0.074 Au
0.500 0.500 0.082 O
0.500 0.000 0.581 O
0.000 0.500 0.581 O
0.500 0.500 0.581 Sb
```